Entry 1:
{"formula": "BeZn2Pt", "functional": "GGA-PBE", "state": "optimized geometry", "lattice_angstrom": [[-6.473, 0.229, 2.111], [2.105, -0.187, 6.476], [-2.086, 2.440, 4.331]], "species": ["Zn", "Zn", "Zn", "Zn", "Pt", "Pt", "Be", "Be"], "fractional_positions": [[0.596, 0.125, 0.250], [0.375, 0.404, 0.750], [0.875, 0.846, 0.750], [0.154, 0.625, 0.250], [0.000, 0.000, 0.000], [0.750, 0.250, 0.500], [0.250, 0.750, 0.500], [0.500, 0.500, 0.000]], "e_tot_ev_per_atom": -3.0451, "spacegroup": "I-42d"}


Entry 2:
{"formula": "PrThPdRu", "functional": "GGA-PBE", "state": "optimized geometry", "lattice_angstrom": [[5.071, 0.000, 0.000], [2.535, 4.391, 0.000], [2.535, 1.464, 4.140]], "species": ["Ru", "Pr", "Pd", "Th"], "fractional_positions": [[0.750, 0.750, 0.750], [0.000, 0.000, 0.000], [0.250, 0.250, 0.250], [0.500, 0.500, 0.500]], "e_tot_ev_per_atom": -7.1314, "spacegroup": "F-43m"}


Entry 3:
{"formula": "SrHo3Co", "functional": "GGA-PBE", "state": "optimized geometry", "lattice_angstrom": [[-2.597, 4.554, 1.125], [-4.258, -1.750, -2.748], [-1.967, -2.225, 4.464]], "species": ["Ho", "Ho", "Ho", "Co", "Sr"], "fractional_positions": [[0.000, 0.500, 0.000], [0.000, 0.000, 0.500], [0.500, 0.000, 0.000], [0.000, 0.000, 0.000], [0.500, 0.500, 0.500]], "e_tot_ev_per_atom": -4.5373, "spacegroup": "Pm-3m"}


Entry 4:
{"formula": "CeSnHg", "functional": "GGA-PBE", "state": "optimized geometry", "lattice_angstrom": [[5.277, 0.000, 0.000], [-2.637, 4.571, 0.000], [0.000, 0.000, 6.645]], "species": ["Ce", "Ce", "Hg", "Hg", "Sn", "Sn"], "fractional_positions": [[0.667, 0.833, 0.750], [0.333, 0.167, 0.250], [0.667, 0.833, 0.250], [0.333, 0.167, 0.750], [0.000, 0.500, 0.000], [0.000, 0.500, 0.500]], "e_tot_ev_per_atom": -3.8692, "spacegroup": "P6_3/mmc"}


Entry 5:
{"formula": "LiHo2Ge3", "functional": "GGA-PBE", "state": "optimized geometry", "lattice_angstrom": [[5.521, 0.731, -1.498], [-1.497, 5.364, -1.498], [-0.501, -0.759, 8.184]], "species": ["Ge", "Ge", "Ge", "Ge", "Ge", "Ge", "Ho", "Ho", "Ho", "Ho", "Li", "Li"], "fractional_positions": [[0.830, 0.830, 0.660], [0.652, 0.177, 0.829], [0.177, 0.652, 0.829], [0.348, 0.823, 0.171], [0.823, 0.348, 0.171], [0.170, 0.170, 0.340], [0.762, 0.762, 0.000], [0.750, 0.250, 0.500], [0.250, 0.750, 0.500], [0.238, 0.238, 0.000], [0.333, 0.333, 0.666], [0.667, 0.667, 0.334]], "e_tot_ev_per_atom": -4.7887, "spacegroup": "Fmmm"}


Entry 6:
{"formula": "Ba3Ag8", "functional": "GGA-PBE", "state": "optimized geometry", "lattice_angstrom": [[4.488, 0.000, -0.671], [-0.114, 4.677, -0.761], [-0.047, 0.041, 15.021]], "species": ["Ba", "Ba", "Ba", "Ag", "Ag", "Ag", "Ag", "Ag", "Ag", "Ag", "Ag"], "fractional_positions": [[0.000, 0.000, 0.000], [0.150, 0.650, 0.299], [0.850, 0.350, 0.701], [0.748, 0.748, 0.497], [0.599, 0.099, 0.198], [0.694, 0.194, 0.389], [0.252, 0.252, 0.503], [0.306, 0.806, 0.611], [0.548, 0.548, 0.096], [0.452, 0.452, 0.904], [0.401, 0.901, 0.802]], "e_tot_ev_per_atom": -2.8092, "spacegroup": "Immm"}


Entry 7:
{"formula": "Na2Sm2Hg3", "functional": "GGA-PBE", "state": "optimized geometry", "lattice_angstrom": [[-2.340, 2.668, -1.276], [-1.654, -2.509, -2.214], [-10.576, -1.838, 9.983]], "species": ["Hg", "Hg", "Hg", "Na", "Na", "Sm", "Sm"], "fractional_positions": [[0.130, 0.000, 0.740], [0.870, 0.000, 0.260], [0.000, 0.000, 0.000], [0.695, 0.500, 0.611], [0.305, 0.500, 0.389], [0.566, 0.500, 0.868], [0.434, 0.500, 0.132]], "e_tot_ev_per_atom": -2.1863, "spacegroup": "Cmmm"}


Entry 8:
{"formula": "Ce8As4Se3", "functional": "GGA-PBE", "state": "optimized geometry", "lattice_angstrom": [[-1.657, -6.325, 5.274], [0.586, -1.455, -8.239], [7.615, 3.515, -0.071]], "species": ["As", "As", "As", "As", "Se", "Se", "Se", "Ce", "Ce", "Ce", "Ce", "Ce", "Ce", "Ce", "Ce"], "fractional_positions": [[0.000, 0.000, 0.500], [0.500, 0.000, 0.000], [0.000, 0.500, 0.000], [0.000, 0.000, 0.000], [0.500, 0.500, 0.000], [0.500, 0.500, 0.500], [0.500, 0.000, 0.500], [0.503, 0.753, 0.753], [0.003, 0.751, 0.751], [0.000, 0.249, 0.751], [0.997, 0.249, 0.249], [0.500, 0.751, 0.249], [0.000, 0.751, 0.249], [0.497, 0.247, 0.247], [0.500, 0.249, 0.751]], "formation_energy_uncorrected_mev_per_atom": -1436, "e_tot_ev_per_atom": -6.5372, "spacegroup": "C2/m"}


Entry 9:
{"formula": "Sm3AlNi8", "functional": "GGA-PBE", "state": "optimized geometry", "lattice_angstrom": [[4.824, 0.000, 1.456], [2.192, 4.297, 1.456], [-0.007, -0.004, 8.740]], "species": ["Ni", "Ni", "Ni", "Ni", "Ni", "Ni", "Ni", "Ni", "Al", "Sm", "Sm", "Sm"], "fractional_positions": [[0.444, 0.939, 0.678], [0.939, 0.444, 0.678], [0.189, 0.189, 0.434], [0.688, 0.688, 0.935], [0.938, 0.435, 0.192], [0.435, 0.435, 0.192], [0.435, 0.938, 0.192], [0.939, 0.939, 0.678], [0.869, 0.869, 0.394], [0.505, 0.505, 0.485], [0.377, 0.377, 0.869], [0.992, 0.992, 0.023]], "e_tot_ev_per_atom": -5.7203, "spacegroup": "R3m"}


Entry 10:
{"formula": "Nd3Dy3Y5", "functional": "GGA-PBE", "state": "optimized geometry", "lattice_angstrom": [[5.545, 0.000, 0.000], [0.000, 8.433, -4.869], [0.000, 0.000, 9.737]], "species": ["Nd", "Nd", "Nd", "Y", "Y", "Y", "Y", "Y", "Dy", "Dy", "Dy"], "fractional_positions": [[0.000, 0.000, 0.574], [0.000, 0.426, 0.426], [0.000, 0.574, 0.000], [0.500, 0.667, 0.333], [0.500, 0.333, 0.667], [0.500, 0.365, 0.000], [0.500, 0.635, 0.635], [0.500, 0.000, 0.365], [0.500, 0.275, 0.275], [0.500, 0.725, 0.000], [0.500, 0.000, 0.725]], "e_tot_ev_per_atom": -4.7133, "spacegroup": "P-62m"}


Entry 11:
{"formula": "K4Fe3", "functional": "GGA-PBE", "state": "optimized geometry", "lattice_angstrom": [[2.498, -4.327, 0.000], [2.498, 4.327, 0.000], [0.000, 0.000, 12.737]], "species": ["Fe", "Fe", "Fe", "K", "K", "K", "K"], "fractional_positions": [[0.500, 0.500, 0.000], [0.500, 0.000, 0.000], [0.000, 0.500, 0.000], [0.000, 0.000, 0.194], [0.333, 0.667, 0.500], [0.000, 0.000, 0.806], [0.667, 0.333, 0.500]], "e_tot_ev_per_atom": -3.3355, "spacegroup": "P6/mmm"}


Entry 12:
{"formula": "CoSnMo2N", "functional": "GGA-PBE", "state": "optimized geometry", "lattice_angstrom": [[4.189, 0.000, 0.000], [0.000, 4.189, 0.000], [0.000, 0.000, 3.893]], "species": ["Mo", "Mo", "Sn", "N", "Co"], "fractional_positions": [[0.500, 0.000, 0.000], [0.000, 0.500, 0.000], [0.500, 0.500, 0.500], [0.000, 0.000, 0.000], [0.000, 0.000, 0.500]], "formation_energy_uncorrected_mev_per_atom": -44, "e_tot_ev_per_atom": -8.2636, "spacegroup": "P4/mmm"}


Entry 13:
{"formula": "SnBi2Sb2", "functional": "GGA-PBE", "state": "optimized geometry", "lattice_angstrom": [[4.267, 0.000, 0.000], [0.000, 4.267, 0.000], [2.133, 2.133, 8.769]], "species": ["Sb", "Sb", "Bi", "Bi", "Sn"], "fractional_positions": [[0.750, 0.250, 0.500], [0.250, 0.750, 0.500], [0.592, 0.592, 0.816], [0.408, 0.408, 0.184], [0.000, 0.000, 0.000]], "formation_energy_uncorrected_mev_per_atom": 185, "e_tot_ev_per_atom": -3.8171, "spacegroup": "I4/mmm"}


Entry 14:
{"formula": "Tm6Ge2TeSe3", "functional": "GGA-PBE", "state": "optimized geometry", "lattice_angstrom": [[4.109, 0.000, 0.000], [0.000, 8.246, 0.356], [-2.055, -2.316, 8.622]], "species": ["Se", "Se", "Se", "Tm", "Tm", "Tm", "Tm", "Tm", "Tm", "Ge", "Ge", "Te"], "fractional_positions": [[0.838, 0.164, 0.676], [0.162, 0.836, 0.324], [0.500, 0.500, 0.000], [0.329, 0.424, 0.659], [0.008, 0.272, 0.015], [0.674, 0.106, 0.347], [0.326, 0.894, 0.653], [0.992, 0.728, 0.985], [0.671, 0.576, 0.341], [0.167, 0.335, 0.335], [0.833, 0.665, 0.665], [0.500, 0.000, 0.000]], "formation_energy_uncorrected_mev_per_atom": -1405, "e_tot_ev_per_atom": -5.5436, "spacegroup": "C2/m"}


Entry 15:
{"formula": "K6Na2CdH", "functional": "GGA-PBE", "state": "optimized geometry", "lattice_angstrom": [[8.943, -0.016, -0.020], [-0.016, 8.942, -0.022], [-4.481, -4.482, 6.347]], "species": ["H", "K", "K", "K", "K", "K", "K", "Na", "Na", "Cd"], "fractional_positions": [[0.000, 0.000, 0.000], [0.771, 0.230, 0.000], [0.230, 0.230, 0.459], [0.770, 0.770, 0.541], [0.229, 0.229, 0.000], [0.770, 0.771, 0.999], [0.229, 0.771, 0.000], [0.249, 0.753, 0.501], [0.752, 0.250, 0.501], [0.499, 0.500, 0.000]], "e_tot_ev_per_atom": -1.3126, "spacegroup": "Cm"}


Entry 16:
{"formula": "MgPbAu2", "functional": "GGA-PBE", "state": "optimized geometry", "lattice_angstrom": [[3.616, 0.000, 0.000], [0.000, 3.855, 0.000], [0.000, 0.000, 6.206]], "species": ["Au", "Au", "Mg", "Pb"], "fractional_positions": [[0.500, 0.500, 0.276], [0.000, 0.000, 0.004], [0.000, 0.000, 0.445], [0.500, 0.500, 0.775]], "e_tot_ev_per_atom": -3.1613, "spacegroup": "Pmm2"}


Entry 17:
{"formula": "Ac2Dy4Tl3H2", "functional": "GGA-PBE", "state": "optimized geometry", "lattice_angstrom": [[4.889, 0.000, 0.000], [0.000, 4.889, 0.000], [-2.444, -2.444, 12.724]], "species": ["Ac", "Ac", "Dy", "Dy", "Dy", "Dy", "Tl", "Tl", "Tl", "H", "H"], "fractional_positions": [[0.697, 0.697, 0.393], [0.303, 0.303, 0.607], [0.921, 0.421, 0.842], [0.079, 0.579, 0.158], [0.579, 0.079, 0.158], [0.421, 0.921, 0.842], [0.837, 0.837, 0.673], [0.000, 0.000, 0.000], [0.163, 0.163, 0.327], [0.593, 0.593, 0.185], [0.407, 0.407, 0.815]], "e_tot_ev_per_atom": -3.9903, "spacegroup": "I4/mmm"}